[1]
# RbTaO3 | Alexandria via LeMat-Bulk | PBE-GGA | optimized geometry
data_RbTaO3
_chemical_formula_sum 'Rb4 Ta4 O12'
_space_group_name_H-M_alt 'P -1'
_space_group_IT_number 2
_cell_length_a 5.149
_cell_length_b 8.623
_cell_length_c 9.199
_cell_angle_alpha 115.19
_cell_angle_beta 93.85
_cell_angle_gamma 94.13
loop_
_space_group_symop_operation_xyz
'x,y,z'
'-x,-y,-z'
loop_
_atom_site_label
_atom_site_type_symbol
_atom_site_fract_x
_atom_site_fract_y
_atom_site_fract_z
_atom_site_occupancy
Rb1 Rb 0.000 0.000 0.000 1
Rb2 Rb 0.000 0.000 0.500 1
Rb3 Rb 0.406 0.702 0.097 1
Ta1 Ta 0.022 0.513 0.317 1
Ta2 Ta 0.497 0.284 0.354 1
O1 O 0.099 0.393 0.813 1
O2 O 0.217 0.715 0.772 1
O3 O 0.238 0.423 0.509 1
O4 O 0.277 0.713 0.462 1
O5 O 0.293 0.373 0.209 1
O6 O 0.355 0.061 0.267 1
# * spin magnetization: 0.000 μB per atom
# * formation energy from raw total energies: -2.620 eV per atom



[2]
# RbTaO3 | Alexandria via LeMat-Bulk | PBE-GGA | optimized geometry
data_RbTaO3
_chemical_formula_sum 'Rb4 Ta4 O12'
_space_group_name_H-M_alt 'P -1'
_space_group_IT_number 2
_cell_length_a 6.252
_cell_length_b 7.555
_cell_length_c 8.040
_cell_angle_alpha 80.05
_cell_angle_beta 84.07
_cell_angle_gamma 74.99
loop_
_space_group_symop_operation_xyz
'x,y,z'
'-x,-y,-z'
loop_
_atom_site_label
_atom_site_type_symbol
_atom_site_fract_x
_atom_site_fract_y
_atom_site_fract_z
_atom_site_occupancy
Rb1 Rb 0.000 0.000 0.000 1
Rb2 Rb 0.000 0.500 0.000 1
Rb3 Rb 0.434 0.170 0.237 1
Ta1 Ta 0.126 0.790 0.493 1
Ta2 Ta 0.371 0.359 0.652 1
O1 O 0.021 0.040 0.340 1
O2 O 0.119 0.288 0.576 1
O3 O 0.204 0.610 0.704 1
O4 O 0.337 0.561 0.385 1
O5 O 0.364 0.240 0.873 1
O6 O 0.420 0.846 0.454 1
# * spin magnetization: 0.000 μB per atom
# * formation energy from raw total energies: -2.553 eV per atom



[3]
# Rb3Ta5O12 | Alexandria via LeMat-Bulk | PBE-GGA | optimized geometry
data_Rb3Ta5O12
_chemical_formula_sum 'Rb24 Ta40 O96'
_space_group_name_H-M_alt 'I a -3 d'
_space_group_IT_number 230
_space_group_name_Hall '-I 4bd 2c 3'
_cell_length_a 13.812
_cell_length_b 13.812
_cell_length_c 13.812
_cell_angle_alpha 90.00
_cell_angle_beta 90.00
_cell_angle_gamma 90.00
loop_
_atom_site_label
_atom_site_type_symbol
_atom_site_fract_x
_atom_site_fract_y
_atom_site_fract_z
_atom_site_occupancy
Rb1 Rb 0.000 0.250 0.125 1
Ta1 Ta 0.000 0.000 0.000 1
Ta2 Ta 0.000 0.250 0.375 1
O1 O 0.028 0.144 0.957 1
# * spin magnetization: 0.203 μB per atom
# * formation energy from raw total energies: -2.349 eV per atom